# AcHo2Er3 | the Alexandria database | GGA-PBE | relaxed
# formation energy = 147 meV per atom
# total moment = 0.00 μB/cell
# energy relative to the lowest polymorph listed for this composition = 0.219 eV per formula unit
# uncorrected energy = -26.07 eV/f.u.
data_AcHo2Er3
_chemical_formula_sum 'Ac4 Ho8 Er12'
_space_group_name_H-M_alt 'C 1 2/m 1'
_space_group_IT_number 12
_space_group_name_Hall '-C 2y'
_cell_length_a 22.967
_cell_length_b 3.560
_cell_length_c 10.443
_cell_angle_alpha 90.00
_cell_angle_beta 109.01
_cell_angle_gamma 90.00
loop_
_atom_site_label
_atom_site_type_symbol
_atom_site_fract_x
_atom_site_fract_y
_atom_site_fract_z
Ac1 Ac 0.180 0.000 0.037
Ho1 Ho 0.064 0.500 0.150
Ho2 Ho 0.192 0.000 0.377
Er1 Er 0.059 0.000 0.444
Er2 Er 0.067 0.500 0.749
Er3 Er 0.195 0.000 0.710